No. 1
Computed, not measured: a crystal of NaBeSiAg2 relaxed with PBEsol at the meta-GGA SCAN level of DFT.

Lattice parameters (Å, degrees): 4.3964 4.3964 4.6824 90.00 90.00 90.00
Closest atoms and distances in Å follow each position.
Space group P4/mmm (No. 123)
Symmetry-distinct sites (fractional):
Na: 0.0000 0.0000 0.0000 (multiplicity 1)  2 Be 2.34
Be: 0.0000 0.0000 0.5000 (multiplicity 1)  4 Ag 2.20, 2 Na 2.34
Si: 0.5000 0.5000 0.0000 (multiplicity 1)  4 Na 3.11, 8 Ag 3.21
Ag: 0.0000 0.5000 0.5000 (multiplicity 2)  2 Be 2.20

Its size of the total moment is 0.00 μB/cell. The calculation puts the raw total energy at -77.8 eV for the cell shown. As for the raw formation energy: 0.698 eV per atom.

=====

No. 2
Computed, not measured: a crystal of BeNb3Ag relaxed with PBEsol at the meta-GGA SCAN level of DFT.

Lattice parameters (Å, degrees): 4.3857 4.3857 4.3857 90.00 90.00 90.00
Closest atoms and distances in Å follow each position.
Space group Pm-3m (No. 221)
Symmetry-distinct sites (fractional):
Be: 0.0000 0.0000 0.0000 (multiplicity 1)  6 Nb 2.19
Nb: 0.0000 0.0000 0.5000 (multiplicity 3)  2 Be 2.19
Ag: 0.5000 0.5000 0.5000 (multiplicity 1)  12 Nb 3.10

As for the energy of formation from the pure elements: 0.62 eV per atom. Its size of the total moment is 0.00 μB/cell. The calculation puts the raw total energy at -132.0 eV for the cell shown.